No. 1
Compound: Pm9Tm4In11
Source: Alexandria
Functional: PBE-GGA
Structure: relaxed

Values from the calculation:
V = 28.084 Å³/atom
ΔH_f (0 K) = -399 meV per atom
N(E_F) = 20.919 states/eV per cell
E = -100.34 eV/cell
Space group = Cmmm (65)
Calculated density = 7.991 g/cm3
Crystal system = orthorhombic

The structure in POSCAR format:
```
Pm9Tm4In11
1.0
8.998 -10.673 0.000
8.998 10.673 0.000
0.000 0.000 3.509
Pm Tm In
9 4 11
Direct
0.000 0.000 0.000 Pm
0.126 0.642 0.000 Pm
0.291 0.464 0.000 Pm
0.358 0.874 0.000 Pm
0.464 0.291 0.000 Pm
0.536 0.709 0.000 Pm
0.642 0.126 0.000 Pm
0.709 0.536 0.000 Pm
0.874 0.358 0.000 Pm
0.067 0.236 0.000 Tm
0.236 0.067 0.000 Tm
0.764 0.933 0.000 Tm
0.933 0.764 0.000 Tm
0.079 0.431 0.500 In
0.135 0.865 0.500 In
0.259 0.259 0.500 In
0.334 0.666 0.500 In
0.431 0.079 0.500 In
0.500 0.500 0.500 In
0.569 0.921 0.500 In
0.666 0.334 0.500 In
0.741 0.741 0.500 In
0.865 0.135 0.500 In
0.921 0.569 0.500 In
```

No. 2
Compound: CaIr3I
Source: Alexandria
Functional: PBE-GGA
Structure: relaxed

Values from the calculation:
V = 23.723 Å³/atom
Raw formation energy = 1.21 eV per atom
N(E_F) = 8.934 states/eV per cell
E = -24.10 eV/cell
Polymorph energy (0 for the lowest one) = 0 meV per atom
Space group = Pm-3m (221)
Calculated density = 10.410 g/cm3
Crystal system = cubic

The structure in POSCAR format:
```
CaIr3I
1.0
4.913 0.000 0.000
0.000 4.913 0.000
0.000 0.000 4.913
Ca Ir I
1 3 1
Direct
0.000 0.000 0.000 Ca
0.000 0.500 0.500 Ir
0.500 0.000 0.500 Ir
0.500 0.500 0.000 Ir
0.500 0.500 0.500 I
```

No. 3
Compound: Cr2ReSe
Source: Alexandria
Functional: PBE-GGA
Structure: relaxed

Values from the calculation:
V = 13.648 Å³/atom
Raw formation energy = 0.56 eV per atom
N(E_F) = 6.143 states/eV per cell
E = -32.95 eV/cell
Polymorph energy (0 for the lowest one) = 358 meV per atom
Space group = Fm-3m (225)
Calculated density = 11.229 g/cm3
Crystal system = cubic

The structure in POSCAR format:
```
Cr2ReSe
1.0
0.000 3.011 3.011
3.011 0.000 3.011
3.011 3.011 0.000
Cr Re Se
2 1 1
Direct
0.250 0.250 0.250 Cr
0.750 0.750 0.750 Cr
0.000 0.000 0.000 Re
0.500 0.500 0.500 Se
```

No. 4
Compound: LiZr2Os
Source: Alexandria
Functional: PBE-GGA
Structure: relaxed

Values from the calculation:
V = 17.854 Å³/atom
ΔH_f (0 K) = 34 meV per atom
N(E_F) = 4.280 states/eV per cell
E = -30.10 eV/cell
Polymorph energy (0 for the lowest one) = 353 meV per atom
Space group = P4mm (99)
Calculated density = 8.827 g/cm3
Crystal system = tetragonal

The structure in POSCAR format:
```
LiZr2Os
1.0
3.365 0.000 0.000
0.000 3.365 0.000
0.000 0.000 6.308
Li Zr Os
1 2 1
Direct
0.000 0.000 0.000 Li
0.000 0.000 0.429 Zr
0.500 0.500 0.752 Zr
0.500 0.500 0.194 Os
```